Entry 1:
DFT (GGA-PBE) results for crystalline Nb3ClO at its relaxed geometry.

a = 4.3054 Å, b = 4.3054 Å, c = 4.3054 Å
α = 90.00°, β = 90.00°, γ = 90.00°
Atoms (fractional coordinates):
Nb: 0.0000 0.0000 0.5000
Nb: 0.0000 0.5000 0.0000
Nb: 0.5000 0.0000 0.0000
Cl: 0.5000 0.5000 0.5000
O: 0.0000 0.0000 0.0000

Summary:
Space group = Pm-3m, No. 221
Total energy = -7.5570 eV per atom
D(E_F) = 1.71 states/eV per cell
Energy relative to the elements, uncorrected = -154 meV/atom



Entry 2:
DFT (GGA-PBE) results for crystalline NbPCl8O at its relaxed geometry.

a = 17.1761 Å, b = 8.7753 Å, c = 9.5346 Å
α = 90.00°, β = 90.00°, γ = 90.00°
Atoms (fractional coordinates):
Nb: 0.1520 0.2500 0.0858
Nb: 0.3480 0.7500 0.5858
Nb: 0.6520 0.2500 0.4142
Nb: 0.8480 0.7500 0.9142
P: 0.0806 0.2500 0.7257
P: 0.4194 0.7500 0.2257
P: 0.5806 0.2500 0.7743
P: 0.9194 0.7500 0.2743
Cl: 0.0284 0.2500 0.1909
Cl: 0.0292 0.7500 0.3385
Cl: 0.1305 0.0694 0.6384
Cl: 0.1305 0.4306 0.6384
Cl: 0.1454 0.5158 0.0591
Cl: 0.1454 0.9842 0.0591
Cl: 0.2211 0.2500 0.2912
Cl: 0.2343 0.7500 0.4414
Cl: 0.2657 0.2500 0.9414
Cl: 0.2789 0.7500 0.7912
Cl: 0.3546 0.0158 0.5591
Cl: 0.3546 0.4842 0.5591
Cl: 0.3695 0.5694 0.1384
Cl: 0.3695 0.9306 0.1384
Cl: 0.4708 0.2500 0.8385
Cl: 0.4716 0.7500 0.6909
Cl: 0.5284 0.2500 0.3091
Cl: 0.5292 0.7500 0.1615
Cl: 0.6305 0.0694 0.8616
Cl: 0.6305 0.4306 0.8616
Cl: 0.6454 0.5158 0.4409
Cl: 0.6454 0.9842 0.4409
Cl: 0.7211 0.2500 0.2088
Cl: 0.7343 0.7500 0.0586
Cl: 0.7657 0.2500 0.5586
Cl: 0.7789 0.7500 0.7088
Cl: 0.8546 0.0158 0.9409
Cl: 0.8546 0.4842 0.9409
Cl: 0.8695 0.5694 0.3616
Cl: 0.8695 0.9306 0.3616
Cl: 0.9708 0.2500 0.6615
Cl: 0.9716 0.7500 0.8091
O: 0.0853 0.2500 0.8814
O: 0.4147 0.7500 0.3814
O: 0.5853 0.2500 0.6186
O: 0.9147 0.7500 0.1186

Summary:
Space group = Pnma, No. 62
Total energy = -4.3882 eV per atom
D(E_F) = 0.00 states/eV per cell
Energy relative to the elements, uncorrected = -1187 meV/atom



Entry 3:
DFT (GGA-PBE) results for crystalline NbPCl2O at its relaxed geometry.

a = 4.3855 Å, b = 4.3855 Å, c = 4.0970 Å
α = 90.00°, β = 90.00°, γ = 90.00°
Atoms (fractional coordinates):
Nb: 0.0000 0.0000 0.0000
P: 0.5000 0.5000 0.0000
Cl: 0.0000 0.5000 0.5000
Cl: 0.5000 0.0000 0.5000
O: 0.5000 0.5000 0.5000

Summary:
Space group = P4/mmm, No. 123
Total energy = -4.0962 eV per atom
D(E_F) = 6.79 states/eV per cell
Energy relative to the elements, uncorrected = 730 meV/atom



Entry 4:
DFT (GGA-PBE) results for crystalline NbPCl2O at its relaxed geometry.

a = 4.7775 Å, b = 4.7775 Å, c = 4.9483 Å
α = 90.00°, β = 90.00°, γ = 90.00°
Atoms (fractional coordinates):
Nb: 0.0000 0.0000 0.0000
P: 0.0000 0.0000 0.5000
Cl: 0.0000 0.5000 0.0000
Cl: 0.5000 0.0000 0.0000
O: 0.5000 0.5000 0.5000

Summary:
Space group = P4/mmm, No. 123
Total energy = -4.5301 eV per atom
D(E_F) = 8.66 states/eV per cell
Energy relative to the elements, uncorrected = 296 meV/atom



Entry 5:
DFT (GGA-PBE) results for crystalline PaNbClO4 at its relaxed geometry.

a = 6.5775 Å, b = 6.5775 Å, c = 6.7297 Å
α = 106.57°, β = 106.57°, γ = 67.92°
Atoms (fractional coordinates):
Pa: 0.2324 0.2324 0.1196
Pa: 0.7676 0.7676 0.8804
Nb: 0.3729 0.3729 0.7612
Nb: 0.6271 0.6271 0.2388
Cl: 0.0007 0.0007 0.7597
Cl: 0.9993 0.9993 0.2403
O: 0.0800 0.4954 0.8310
O: 0.3118 0.3118 0.4640
O: 0.4403 0.4403 0.1499
O: 0.4954 0.0800 0.8310
O: 0.5046 0.9200 0.1690
O: 0.5597 0.5597 0.8501
O: 0.6882 0.6882 0.5360
O: 0.9200 0.5046 0.1690

Summary:
Space group = C2/m, No. 12
Total energy = -8.6380 eV per atom
D(E_F) = 6.38 states/eV per cell
Energy relative to the elements, uncorrected = -2746 meV/atom



Entry 6:
DFT (GGA-PBE) results for crystalline NbPb2Se2ClO8 at its relaxed geometry.

a = 8.8996 Å, b = 5.5059 Å, c = 10.9748 Å
α = 90.00°, β = 112.75°, γ = 90.00°
Atoms (fractional coordinates):
Nb: 0.1582 0.0000 0.0712
Nb: 0.8418 0.5000 0.9288
Pb: 0.1804 0.9918 0.4758
Pb: 0.3185 0.4396 0.7926
Pb: 0.6815 0.9396 0.2074
Pb: 0.8196 0.4918 0.5242
Se: 0.0212 0.0022 0.7320
Se: 0.3830 0.5021 0.2088
Se: 0.6170 0.0021 0.7912
Se: 0.9788 0.5022 0.2680
Cl: 0.3392 0.5097 0.5370
Cl: 0.6608 0.0097 0.4630
O: 0.0263 0.3000 0.0366
O: 0.0649 0.2225 0.6329
O: 0.0793 0.7453 0.6709
O: 0.1723 0.9381 0.2371
O: 0.1857 0.0708 0.8760
O: 0.3238 0.7147 0.0779
O: 0.3714 0.2281 0.1239
O: 0.4122 0.0477 0.7294
O: 0.5878 0.5477 0.2706
O: 0.6286 0.7281 0.8761
O: 0.6762 0.2147 0.9221
O: 0.8143 0.5708 0.1240
O: 0.8277 0.4381 0.7629
O: 0.9207 0.2453 0.3291
O: 0.9351 0.7225 0.3671
O: 0.9737 0.8000 0.9634

Summary:
Space group = P2_1, No. 4
Total energy = -6.1261 eV per atom
D(E_F) = 0.00 states/eV per cell
Energy relative to the elements, uncorrected = -1414 meV/atom